# 1
## Sc2HgCl (GGA-PBE)

Data for a relaxed Sc2HgCl crystal.

POSCAR file:
```
Sc2HgCl
1.0
6.388 -1.629 0.000
6.388 1.629 0.000
-1.670 0.000 4.314
Sc Hg Cl
2 1 1
Cartesian
0.000 0.000 0.000 Sc
9.003 0.000 1.011 Sc
1.083 0.000 2.899 Hg
4.606 0.000 1.787 Cl
```

Output
DFT total energy	-17.22	eV for the cell shown
energy relative to the elements, uncorrected	-0.60	eV per atom
symmetry	Cm, No. 8

---

# 2
## ZrCuAs2 (GGA-PBE)

Data for a relaxed ZrCuAs2 crystal.

POSCAR file:
```
ZrCuAs2
1.0
2.013 -2.640 0.000
2.013 2.640 0.000
0.000 0.000 6.914
Zr Cu As
1 1 2
Cartesian
0.000 0.000 0.000 Zr
0.000 0.000 3.457 Cu
2.013 0.000 1.828 As
2.013 0.000 5.086 As
```

Output
DFT total energy	-22.92	eV for the cell shown
ΔH_f (0 K)	-0.24	eV per atom
symmetry	Cmmm, No. 65

---

# 3
## ZrCo2Se (GGA-PBE)

Data for a relaxed ZrCo2Se crystal.

POSCAR file:
```
ZrCo2Se
1.0
3.361 0.000 0.000
0.000 3.838 0.000
0.000 0.000 4.931
Zr Co Se
1 2 1
Cartesian
0.000 0.000 0.000 Zr
1.681 1.919 1.172 Co
1.681 1.919 3.758 Co
1.681 0.000 2.465 Se
```

Output
DFT total energy	-27.25	eV for the cell shown
energy relative to the elements, uncorrected	-0.25	eV per atom
symmetry	Pmmm, No. 47

---

# 4
## TcAg (GGA-PBE)

Data for a relaxed TcAg crystal.

POSCAR file:
```
TcAg
1.0
4.882 0.000 0.000
0.000 4.565 0.000
0.000 0.000 5.684
Tc Ag
4 4
Cartesian
0.328 1.141 0.692 Tc
2.113 3.424 3.534 Tc
2.769 1.141 2.150 Tc
4.554 3.424 4.992 Tc
0.402 1.141 3.541 Ag
2.039 3.424 0.699 Ag
2.844 1.141 4.984 Ag
4.480 3.424 2.142 Ag
```

Output
DFT total energy	-48.10	eV for the cell shown
ΔH_f (0 K)	0.60	eV per atom
symmetry	Pnma, No. 62

---

# 5
## ScRe2 (GGA-PBE)

Data for a relaxed ScRe2 crystal.

POSCAR file:
```
ScRe2
1.0
-1.969 1.969 7.656
1.969 -1.969 7.656
1.969 1.969 -7.656
Sc Re
2 4
Cartesian
1.969 0.985 1.914 Sc
0.000 0.985 5.742 Sc
1.969 -0.985 4.500 Re
1.969 -0.985 6.983 Re
0.000 2.954 0.672 Re
0.000 2.954 3.156 Re
```

Output
DFT total energy	-60.07	eV for the cell shown
ΔH_f (0 K)	0.40	eV per atom
symmetry	I4_1/amd, No. 141

---

# 6
## K2BaTeSe4 (GGA-PBE)

Data for a relaxed K2BaTeSe4 crystal.

POSCAR file:
```
K2BaTeSe4
1.0
7.976 -4.687 0.000
7.976 4.687 0.000
-5.331 0.000 7.526
K Ba Te Se
4 2 2 8
Cartesian
0.000 0.000 0.000 K
5.310 4.684 3.763 K
1.176 -2.133 3.650 K
9.445 -2.133 3.877 K
7.976 0.036 0.000 Ba
5.310 0.041 3.763 Ba
-1.353 1.998 7.521 Te
11.974 1.998 0.006 Te
2.800 0.393 1.655 Se
-0.181 0.385 5.863 Se
6.410 2.267 1.714 Se
4.211 2.267 5.813 Se
6.236 -2.313 1.595 Se
7.821 0.393 5.872 Se
10.802 0.385 1.663 Se
4.385 -2.313 5.932 Se
```

Output
DFT total energy	-58.04	eV for the cell shown
energy relative to the elements, uncorrected	-0.98	eV per atom
symmetry	C2, No. 5

---

# 7
## Ba6In2As (GGA-PBE)

Data for a relaxed Ba6In2As crystal.

POSCAR file:
```
Ba6In2As
1.0
7.908 0.000 0.000
0.000 11.202 0.000
-6.086 0.000 9.766
Ba In As
12 4 2
Cartesian
-1.806 1.507 4.458 Ba
-4.849 4.094 9.341 Ba
-0.266 8.301 4.212 Ba
-3.309 8.503 9.095 Ba
1.495 0.495 1.789 Ba
-1.548 5.106 6.672 Ba
3.370 6.097 3.094 Ba
0.327 10.707 7.977 Ba
5.131 2.700 0.671 Ba
2.088 2.902 5.554 Ba
6.672 7.108 0.425 Ba
3.628 9.695 5.308 Ba
-3.215 1.000 7.956 In
-0.172 4.601 3.073 In
1.994 6.601 6.693 In
5.037 10.202 1.810 In
0.911 0.000 4.883 As
3.954 5.601 0.000 As
```

Output
DFT total energy	-51.04	eV for the cell shown
ΔH_f (0 K)	-0.43	eV per atom
symmetry	P2_1/c, No. 14

---

# 8
## SrVGa2Co (GGA-PBE)

Data for a relaxed SrVGa2Co crystal.

POSCAR file:
```
SrVGa2Co
1.0
4.933 0.000 0.000
0.000 4.933 0.000
0.000 0.000 4.308
Sr V Ga Co
1 1 2 1
Cartesian
0.000 0.000 0.000 Sr
2.467 2.467 2.154 V
0.000 2.467 2.154 Ga
2.467 0.000 2.154 Ga
2.467 2.467 0.000 Co
```

Output
DFT total energy	-23.19	eV for the cell shown
ΔH_f (0 K)	0.15	eV per atom
symmetry	P4/mmm, No. 123